(1)
The following is a DFT calculation (GGA-PBE) of an optimized crystal structure of Nd2ZnH.

Structure (extended XYZ):
```
4
Lattice="3.405 0.000 0.000 0.000 3.405 0.000 0.000 0.000 7.305" Properties=species:S:1:pos:R:3 pbc="T T T"
Nd 0.000 0.000 5.624
Nd 0.000 0.000 1.681
H 1.702 1.702 0.000
Zn 1.702 1.702 3.653
```

## Properties
Space-group type = P4/mmm
E above lowest polymorph = 0.1329 eV/atom

=====

(2)
The following is a DFT calculation (GGA-PBE) of an optimized crystal structure of NdZnH3.

Structure (extended XYZ):
```
10
Lattice="-0.461 -0.885 -3.707 6.041 2.145 -1.263 -1.008 -5.120 3.383" Properties=species:S:1:pos:R:3 pbc="T T T"
H 2.456 0.257 -1.055
H -0.293 -2.526 -2.030
H 4.916 1.130 -1.569
H 0.530 -3.712 0.158
H 2.167 -1.653 -2.545
H 3.085 -2.805 -0.376
Zn 0.171 -3.478 2.139
Zn 3.905 -2.152 1.357
Nd 1.140 -1.579 -0.447
Nd 3.482 0.183 -3.152
```

## Properties
Space-group type = C2/m
Uncorrected energy = -3.556 eV/atom